Record 1
VASP calculation (GGA-PBE) on a relaxed Li2In4Cu crystal.

Lattice parameters (Å, degrees): 6.050 8.574 12.645 90.00 90.00 90.00
Space group Fmmm (No. 69)
Inequivalent atoms, fractional coordinates:
Li (0.000, 0.000, 0.119)
In (0.250, 0.250, 0.000)
In (0.250, 0.250, 0.250)
Cu (0.000, 0.000, 0.500)

Record 2
VASP calculation (GGA-PBE) on a relaxed Li2InCu crystal.

Lattice parameters (Å, degrees): 5.380 9.057 2.911 90.00 108.71 90.00
Space group C2/m (No. 12)
Inequivalent atoms, fractional coordinates:
Li (0.250, 0.250, 0.000)
In (0.000, 0.000, 0.500)
Cu (0.000, 0.500, 0.500)

Record 3
VASP calculation (GGA-PBE) on a relaxed LiIn2Cu crystal.

Lattice parameters (Å, degrees): 4.863 3.137 5.570 90.00 113.00 90.00
Space group P2/m (No. 10)
Inequivalent atoms, fractional coordinates:
Li (0.000, 0.000, 0.000)
In (0.500, 0.000, 0.500)
In (0.500, 0.500, 0.000)
Cu (0.000, 0.500, 0.500)

Record 4
VASP calculation (GGA-PBE) on a relaxed Li2InCu crystal.

Lattice parameters (Å, degrees): 3.208 3.208 6.517 90.00 90.00 90.00
Space group P4mm (No. 99)
Inequivalent atoms, fractional coordinates:
Li (0.000, 0.000, 0.000)
Li (0.500, 0.500, 0.263)
In (0.500, 0.500, 0.719)
Cu (0.000, 0.000, 0.464)

Record 5
VASP calculation (GGA-PBE) on a relaxed Li2In2Cu crystal.

Lattice parameters (Å, degrees): 3.568 3.568 14.701 90.00 90.00 90.00
Space group I4/mmm (No. 139)
Inequivalent atoms, fractional coordinates:
Li (0.000, 0.500, 0.250)
In (0.000, 0.000, 0.100)
Cu (0.000, 0.000, 0.500)

Calculated values
As for the excess energy over the best structure of this formula in the dataset: 19.74 kJ/mol of atoms.

Record 6
VASP calculation (GGA-PBE) on a relaxed Li2InCu crystal.

Lattice parameters (Å, degrees): 3.690 4.070 4.395 90.00 90.00 90.00
Space group Pmmm (No. 47)
Inequivalent atoms, fractional coordinates:
Li (0.000, 0.000, 0.000)
Li (0.500, 0.500, 0.000)
In (0.000, 0.500, 0.500)
Cu (0.500, 0.000, 0.500)

no.,energy of formation (eV/atom),total energy (eV/cell)
1,0.015,-75.080
2,-0.086,-22.009
3,-0.002,-11.493
4,-0.107,-11.090
5,0.012,-26.680
6,-0.141,-11.225